First-principles (PBE+U) data for crystalline CaMnO3 at its relaxed geometry, as listed in the Alexandria database.

abc: 5.3859 5.3859 9.2093
angles: 90.00 90.00 120.00
Each line ends with the local moment (μB).
Element x y z (fractional)
Ca 0.3333 0.6667 0.2500  0.01
Ca 0.6667 0.3333 0.7500  0.01
Ca 0.0000 0.0000 0.5000  0.00
Ca 0.0000 0.0000 0.0000  0.00
Mn 0.6667 0.3333 0.1139  3.06
Mn 0.3333 0.6667 0.6139  3.06
Mn 0.3333 0.6667 0.8861  3.06
Mn 0.6667 0.3333 0.3861  3.06
O 0.1762 0.3524 0.7500  -0.12
O 0.3524 0.1762 0.2500  -0.10
O 0.8238 0.1762 0.2500  -0.12
O 0.1762 0.8238 0.7500  -0.12
O 0.6476 0.8238 0.7500  -0.10
O 0.8238 0.6476 0.2500  -0.12
O 0.5000 0.5000 0.5000  0.03
O 0.5000 0.0000 0.0000  0.03
O 0.5000 0.5000 0.0000  0.03
O 0.5000 0.0000 0.5000  0.03
O 0.0000 0.5000 0.5000  0.04
O 0.0000 0.5000 0.0000  0.04

Results
crystal system	hexagonal
DOS(E_F)	0.00	states/eV per cell
SG	P6_3/mmc
magnetic moment	12.00	μB per cell
calculated total energy	-6.858	eV/atom